! Li14Cr2N8O, relaxed, DFT PBE with a Hubbard U; values from VASP
! magnetization: 0.0 μB per formula unit
! symmetry: P-3 (147)
! raw total energy: -129.93 eV per cell
&SYSTEM
  ibrav = 0, nat = 25, ntyp = 4
/
ATOMIC_SPECIES
Li 6.94 Li.upf
Cr 52.00 Cr.upf
N 14.01 N.upf
O 16.00 O.upf
CELL_PARAMETERS angstrom
0.5004 5.7866 0.1730
-5.0787 -2.5166 1.2798
2.2057 -0.4273 7.9126
ATOMIC_POSITIONS crystal
Li 0.9281 0.3039 0.0904
Li 0.6961 0.6243 0.0904
Li 0.3757 0.0719 0.0904
Li 0.0719 0.6961 0.9096
Li 0.3039 0.3757 0.9096
Li 0.6243 0.9281 0.9096
Li 0.3523 0.3123 0.4137
Li 0.6877 0.0400 0.4137
Li 0.9600 0.6477 0.4137
Li 0.6477 0.6877 0.5863
Li 0.3123 0.9600 0.5863
Li 0.0400 0.3523 0.5863
Li 0.0000 0.0000 0.2563
Li 0.0000 0.0000 0.7437
Cr 0.6667 0.3333 0.7610
Cr 0.3333 0.6667 0.2390
N 0.9388 0.3067 0.8314
N 0.6667 0.3333 0.5478
N 0.0612 0.6933 0.1686
N 0.3067 0.3679 0.1686
N 0.6321 0.9388 0.1686
N 0.3679 0.0612 0.8314
N 0.6933 0.6321 0.8314
N 0.3333 0.6667 0.4522
O 0.0000 0.0000 0.5000